Entry 1:
# Nd2PuTe2N2, optimized geometry, DFT PBE-GGA
# E (eV per atom): -7.99
data_Nd2PuTe2N2
_chemical_formula_sum 'Nd4 Pu2 Te4 N4'
_cell_length_a 4.378
_cell_length_b 4.378
_cell_length_c 16.693
_cell_angle_alpha 90.00
_cell_angle_beta 90.00
_cell_angle_gamma 90.00
_space_group_name_H-M_alt 'I 4/m m m'
_space_group_IT_number 139
_space_group_name_Hall '-I 4 2'
loop_
_atom_site_label
_atom_site_type_symbol
_atom_site_fract_x
_atom_site_fract_y
_atom_site_fract_z
_atom_site_occupancy
Nd1 Nd 0.000 0.000 0.107 1
Pu1 Pu 0.000 0.000 0.500 1
Te1 Te 0.000 0.000 0.316 1
N1 N 0.000 0.500 0.000 1

Entry 2:
# NdPuTe2N, optimized geometry, DFT PBE-GGA
# E (eV per atom): -7.96
data_NdPuTe2N
_chemical_formula_sum 'Nd2 Pu2 Te4 N2'
_cell_length_a 4.090
_cell_length_b 4.090
_cell_length_c 16.530
_cell_angle_alpha 90.00
_cell_angle_beta 90.00
_cell_angle_gamma 90.00
_space_group_name_H-M_alt 'P 4/n m m'
_space_group_IT_number 129
loop_
_space_group_symop_operation_xyz
'x,y,z'
'-x,-y,-z'
'-y+1/2,x,z'
'y+1/2,-x,-z'
'-x+1/2,-y+1/2,z'
'x+1/2,y+1/2,-z'
'y,-x+1/2,z'
'-y,x+1/2,-z'
'x+1/2,-y,-z'
'-x+1/2,y,z'
'-y,-x,-z'
'y,x,z'
'-x,y+1/2,-z'
'x,-y+1/2,z'
'y+1/2,x+1/2,-z'
'-y+1/2,-x+1/2,z'
loop_
_atom_site_label
_atom_site_type_symbol
_atom_site_fract_x
_atom_site_fract_y
_atom_site_fract_z
_atom_site_occupancy
Nd1 Nd 0.250 0.250 0.147 1
Pu1 Pu 0.250 0.250 0.562 1
Te1 Te 0.250 0.250 0.328 1
Te2 Te 0.250 0.250 0.920 1
N1 N 0.250 0.750 0.500 1

no.,calculated volume (Å³/cell)
1,319.9
2,276.5